PBE-GGA AcPrIn, relaxed; excess energy over the best structure of this formula in the dataset = 0.86 eV per formula unit; DOS at the Fermi energy = 1.3560 states/eV per atom; space-group type = Pmma; M_tot = 0.0 μB/f.u.; energy of formation from the pure elements = -1.31 kJ per mole of atoms
1.0
6.7648 0.0000 0.0000
0.0000 3.6006 0.0000
0.0000 0.0000 8.9221
Ac Pr In
2 2 2
Direct
0.0000 0.0000 0.0000
0.5000 0.0000 0.0000
0.2500 0.5000 0.3485
0.7500 0.5000 0.6515
0.2500 0.0000 0.6667
0.7500 0.0000 0.3333